Entry 1:
Below is a relaxed structure of Cd2Ag2Te, with properties calculated at the PBE level.

## Properties
Density   8.00 g cm⁻³
Uncorrected formation energy   0.000 eV per atom
Crystal system   tetragonal
Fermi-level density of states   1.44 states/eV per cell
Size of the total moment   0.000 μB/cell
Offset from the most stable computed form   0 meV/atom

a = 4.000 Å, b = 4.000 Å, c = 7.893 Å
α = 75.32°, β = 75.32°, γ = 90.00°
Fractional coordinates of all 5 atoms:
Cd  0.604  0.604  0.793
Te  0.000  0.000  0.000
Ag  0.750  0.250  0.500
Cd  0.396  0.396  0.207
Ag  0.250  0.750  0.500

=====

Entry 2:
Below is a relaxed structure of CdAgTe2, with properties calculated at the PBE level.

## Properties
Density   7.49 g cm⁻³
Uncorrected formation energy   0.097 eV per atom
Crystal system   orthorhombic
Fermi-level density of states   1.64 states/eV per cell
Size of the total moment   0.000 μB/cell

a = 3.166 Å, b = 3.166 Å, c = 10.711 Å
α = 90.00°, β = 90.00°, γ = 100.97°
Fractional coordinates of all 4 atoms:
Te  0.500  0.500  0.303
Cd  0.500  0.500  0.714
Te  0.000  0.000  0.961
Ag  0.000  0.000  0.522

=====

Entry 3:
Below is a relaxed structure of Cd2Ag2Te, with properties calculated at the PBE level.

## Properties
Density   8.14 g cm⁻³
Uncorrected formation energy   0.049 eV per atom
Crystal system   tetragonal
Fermi-level density of states   1.53 states/eV per cell
Size of the total moment   0.000 μB/cell
Offset from the most stable computed form   49 meV/atom

a = 4.084 Å, b = 4.084 Å, c = 7.521 Å
α = 74.25°, β = 74.25°, γ = 90.00°
Fractional coordinates of all 5 atoms:
Cd  0.750  0.250  0.500
Ag  0.401  0.401  0.199
Ag  0.599  0.599  0.801
Cd  0.250  0.750  0.500
Te  0.000  0.000  0.000

=====

Entry 4:
Below is a relaxed structure of Cd2AgTe, with properties calculated at the PBE level.

## Properties
Density   7.86 g cm⁻³
Uncorrected formation energy   0.006 eV per atom
Crystal system   monoclinic
Fermi-level density of states   1.13 states/eV per cell
Size of the total moment   0.000 μB/cell

a = 4.068 Å, b = 4.131 Å, c = 6.618 Å
α = 60.97°, β = 90.00°, γ = 90.00°
Fractional coordinates of all 4 atoms:
Cd  0.000  0.509  0.508
Cd  0.000  0.991  0.992
Ag  0.500  0.750  0.750
Te  0.500  0.250  0.250

=====

Entry 5:
Below is a relaxed structure of CdAgTe2, with properties calculated at the PBE level.

## Properties
Density   6.84 g cm⁻³
Uncorrected formation energy   -0.103 eV per atom
Crystal system   monoclinic
Fermi-level density of states   2.17 states/eV per cell
Size of the total moment   0.000 μB/cell

a = 4.588 Å, b = 4.588 Å, c = 6.851 Å
α = 75.45°, β = 75.45°, γ = 56.67°
Fractional coordinates of all 4 atoms:
Te  0.989  0.989  0.788
Ag  0.636  0.636  0.972
Te  0.304  0.304  0.263
Cd  0.571  0.571  0.477

=====

Entry 6:
Below is a relaxed structure of CdAgTe2, with properties calculated at the PBE level.

## Properties
Density   7.37 g cm⁻³
Uncorrected formation energy   0.100 eV per atom
Crystal system   tetragonal
Fermi-level density of states   2.15 states/eV per cell
Size of the total moment   0.000 μB/cell

a = 3.171 Å, b = 3.171 Å, c = 10.658 Å
α = 90.00°, β = 90.00°, γ = 90.00°
Fractional coordinates of all 4 atoms:
Ag  0.000  0.000  0.526
Te  0.000  0.000  0.957
Cd  0.500  0.500  0.710
Te  0.500  0.500  0.307

=====

Entry 7:
Below is a relaxed structure of CdAgTe2, with properties calculated at the PBE level.

## Properties
Density   5.82 g cm⁻³
Uncorrected formation energy   -0.167 eV per atom
Crystal system   tetragonal
Fermi-level density of states   6.14 states/eV per cell
Size of the total moment   0.000 μB/cell

a = 6.516 Å, b = 6.516 Å, c = 7.879 Å
α = 65.58°, β = 65.58°, γ = 90.00°
Fractional coordinates of all 8 atoms:
Ag  0.250  0.750  0.500
Te  0.375  0.387  0.750
Cd  0.750  0.250  0.500
Ag  0.500  0.500  0.000
Cd  0.000  0.000  0.000
Te  0.613  0.125  0.250
Te  0.875  0.863  0.750
Te  0.137  0.625  0.250

=====

Entry 8:
Below is a relaxed structure of Cd2AgTe, with properties calculated at the PBE level.

## Properties
Density   7.93 g cm⁻³
Uncorrected formation energy   0.093 eV per atom
Crystal system   orthorhombic
Fermi-level density of states   1.35 states/eV per cell
Size of the total moment   0.000 μB/cell

a = 3.163 Å, b = 3.163 Å, c = 9.696 Å
α = 90.00°, β = 90.00°, γ = 96.41°
Fractional coordinates of all 4 atoms:
Cd  0.500  0.500  0.222
Cd  0.000  0.000  0.980
Te  0.000  0.000  0.526
Ag  0.500  0.500  0.773